Entry a
Material: CsZrTeN2
Method: DFT, GGA-PBE
State: relaxed

Lattice parameters (Å, degrees): 4.334 4.334 6.470 90.00 90.00 90.00
Positions (direct):
N1 0.500 0.000 0.000
N2 0.000 0.500 0.000
Cs1 0.000 0.000 0.000
Te1 0.000 0.000 0.500
Zr1 0.500 0.500 0.500

Calculated values
total magnetization = 0.0 μB per cell

***

Entry b
Material: CsZrTeN2
Method: DFT, GGA-PBE
State: relaxed

Lattice parameters (Å, degrees): 4.516 4.516 5.886 90.00 90.00 90.00
Positions (direct):
Zr1 0.000 0.000 0.000
Cs1 0.500 0.500 0.500
N1 0.000 0.500 0.000
N2 0.500 0.000 0.000
Te1 0.000 0.000 0.500

Calculated values
total magnetization = 0.0 μB per cell

***

Bottom line: entry b, by a margin of 1.720 eV/atom.

***

Entry a
Material: Cs2TiN
Method: DFT, GGA-PBE
State: relaxed

Lattice parameters (Å, degrees): 5.603 5.603 5.603 60.00 60.00 60.00
Site moments in Bohr magnetons follow the coordinates.
Positions (direct):
Cs1 0.250 0.250 0.250  0.10
Cs2 0.750 0.750 0.750  0.10
N1 0.000 0.000 0.000  -0.81
Ti1 0.500 0.500 0.500  2.46

Calculated values
total magnetization = 3.0 μB per cell

***

Entry b
Material: Cs2TiN
Method: DFT, GGA-PBE
State: relaxed

Lattice parameters (Å, degrees): 9.724 9.724 9.724 92.34 92.34 156.70
Site moments in Bohr magnetons follow the coordinates.
Positions (direct):
Cs1 0.125 0.422 0.797  0.01
Cs2 0.672 0.875 0.297  0.01
Cs3 0.625 0.328 0.203  0.01
Cs4 0.578 0.375 0.703  0.01
Ti1 0.000 0.000 0.000  0.81
Ti2 0.250 0.750 0.500  0.81
N1 0.750 0.250 0.500  -0.07
N2 0.500 0.500 0.000  -0.07

Calculated values
total magnetization = 2.2 μB per cell

***

Bottom line: entry b, by a margin of 1.593 eV/atom.

***

Entry a
Material: CsTl3N
Method: DFT, GGA-PBE
State: relaxed

Lattice parameters (Å, degrees): 5.504 5.504 5.504 90.00 90.00 90.00
Site moments in Bohr magnetons follow the coordinates.
Positions (direct):
N1 0.000 0.000 0.000  0.81
Cs1 0.500 0.500 0.500  0.00
Tl1 0.000 0.500 0.000  0.00
Tl2 0.500 0.000 0.000  0.05
Tl3 0.000 0.000 0.500  -0.03

Calculated values
total magnetization = 1.1 μB per cell

***

Entry b
Material: CsTl3N
Method: DFT, GGA-PBE
State: relaxed

Lattice parameters (Å, degrees): 6.679 6.679 6.679 90.00 90.00 90.00
Positions (direct):
Tl1 0.000 0.500 0.000
Tl2 0.000 0.000 0.500
Tl3 0.500 0.000 0.000
Cs1 0.000 0.000 0.000
N1 0.500 0.500 0.500

Calculated values
total magnetization = 0.0 μB per cell

***

Bottom line: entry a, by a margin of 1.332 eV/atom.

***

Entry a
Material: CsWN2
Method: DFT, GGA-PBE
State: relaxed

Lattice parameters (Å, degrees): 3.745 7.062 14.080 90.00 90.00 90.00
Positions (direct):
Cs1 0.250 0.933 0.835
Cs2 0.750 0.067 0.165
Cs3 0.250 0.433 0.665
Cs4 0.750 0.567 0.335
N1 0.750 0.646 0.041
N2 0.750 0.146 0.459
N3 0.750 0.575 0.823
N4 0.250 0.425 0.177
N5 0.250 0.354 0.959
N6 0.250 0.854 0.541
N7 0.750 0.075 0.677
N8 0.250 0.925 0.323
W1 0.750 0.451 0.931
W2 0.250 0.049 0.431
W3 0.250 0.549 0.069
W4 0.750 0.951 0.569

Calculated values
total magnetization = 0.0 μB per cell

***

Entry b
Material: CsWN2
Method: DFT, GGA-PBE
State: relaxed

Lattice parameters (Å, degrees): 4.238 4.238 4.238 60.00 60.00 60.00
Positions (direct):
N1 0.750 0.750 0.750
N2 0.250 0.250 0.250
Cs1 0.000 0.000 0.000
W1 0.500 0.500 0.500

Calculated values
total magnetization = 0.0 μB per cell

***

Entry c
Material: CsWN2
Method: DFT, GGA-PBE
State: relaxed

Lattice parameters (Å, degrees): 6.223 6.223 6.226 60.02 60.02 90.00
Positions (direct):
N1 0.874 0.625 0.250
N2 0.876 0.125 0.250
N3 0.875 0.126 0.750
N4 0.375 0.124 0.750
Cs1 0.250 0.750 0.500
Cs2 0.500 0.500 0.000
W1 0.750 0.250 0.500
W2 0.000 0.000 0.000

Calculated values
total magnetization = 0.0 μB per cell

***

Bottom line: entry c, by a margin of 0.176 eV/atom.